Record 1
## CaSm3Hg5 (PBE-GGA)

Data for a geometry-optimized CaSm3Hg5 structure. Values from VASP.

E_form in meV per atom: -428
V in Å³/cell: 485.5
DOS at the Fermi energy in states/eV per atom: 0.85
Energy in eV per formula unit: -21.5

Cell and atoms, written as Quantum ESPRESSO input:
```
&SYSTEM
  ibrav = 0, nat = 18, ntyp = 3
/
ATOMIC_SPECIES
Ca 40.08 Ca.upf
Sm 150.36 Sm.upf
Hg 200.59 Hg.upf
CELL_PARAMETERS angstrom
-1.7265 6.0570 -1.9080
-1.6590 -3.1547 -8.5133
-6.7485 0.0596 6.2958
ATOMIC_POSITIONS angstrom
Ca 0.0000 0.0000 0.0000
Ca -0.8632 3.0285 -0.9540
Sm -4.3644 3.4128 -2.2405
Sm -7.2385 1.4260 -5.9470
Sm -2.3481 2.5399 -6.8361
Sm -5.7696 -0.4509 -1.8851
Sm -2.8955 1.5360 1.8214
Sm -1.0373 0.3625 -3.5853
Hg -3.3555 -2.0832 -3.5770
Hg -5.9153 2.0167 0.4054
Hg -5.0520 -1.0118 1.3594
Hg -4.2187 0.9453 -4.5310
Hg -7.1622 2.3829 -2.9784
Hg -4.9927 1.4062 -8.0421
Hg -1.7961 3.5897 -4.0031
Hg -2.9718 0.5791 -1.1472
Hg -5.1412 1.5558 3.9164
Hg -1.5894 -0.6873 -6.4182
```

=====

Record 2
## CaSm3Hg2 (PBE-GGA)

Data for a geometry-optimized CaSm3Hg2 structure. Values from VASP.

E_form in meV per atom: -135
V in Å³/cell: 412.0
Energy relative to the lowest polymorph listed for this composition in meV/atom: 215.8
DOS at the Fermi energy in states/eV per atom: 1.23
Energy in eV per formula unit: -17.6

Cell and atoms, written as Quantum ESPRESSO input:
```
&SYSTEM
  ibrav = 0, nat = 12, ntyp = 3
/
ATOMIC_SPECIES
Ca 40.08 Ca.upf
Sm 150.36 Sm.upf
Hg 200.59 Hg.upf
CELL_PARAMETERS angstrom
-0.1234 -5.1754 5.0740
-0.0692 -5.3653 -5.4742
7.5101 5.1333 0.2407
ATOMIC_POSITIONS angstrom
Ca -0.0346 -2.6826 -2.7371
Ca 0.0000 0.0000 0.0000
Sm -0.0790 -3.9290 1.1684
Sm -0.1136 -6.6116 -1.5687
Sm 3.9220 -1.3197 3.9273
Sm 3.4302 -1.4050 -1.3497
Sm 3.3956 -4.0876 -4.0868
Sm 3.8874 -4.0023 1.1901
Hg 5.3211 -1.1357 1.0458
Hg 1.9816 -3.6628 3.5649
Hg 5.3360 -1.7445 -3.7244
Hg 1.9964 -4.2716 -1.2054
```

=====

Record 3
## CaSmHg6 (PBE-GGA)

Data for a geometry-optimized CaSmHg6 structure. Values from VASP.

E_form in meV per atom: -358
V in Å³/cell: 204.2
Energy relative to the lowest polymorph listed for this composition in meV/atom: 21.8
DOS at the Fermi energy in states/eV per atom: 0.60
Energy in eV per formula unit: -11.4

Cell and atoms, written as Quantum ESPRESSO input:
```
&SYSTEM
  ibrav = 0, nat = 8, ntyp = 3
/
ATOMIC_SPECIES
Ca 40.08 Ca.upf
Sm 150.36 Sm.upf
Hg 200.59 Hg.upf
CELL_PARAMETERS angstrom
4.7016 0.0000 0.0000
0.0000 4.7016 0.0000
0.0000 0.0000 9.2379
ATOMIC_POSITIONS angstrom
Ca 0.0000 0.0000 4.6190
Sm 0.0000 0.0000 0.0000
Hg 2.3508 2.3508 0.0000
Hg 2.3508 2.3508 4.6190
Hg 2.3508 0.0000 2.2906
Hg 2.3508 0.0000 6.9473
Hg 0.0000 2.3508 2.2906
Hg 0.0000 2.3508 6.9473
```

=====

Record 4
## CaSm6Hg2 (PBE-GGA)

Data for a geometry-optimized CaSm6Hg2 structure. Values from VASP.

E_form in meV per atom: -209
V in Å³/cell: 281.9
DOS at the Fermi energy in states/eV per atom: 1.03
Energy in eV per formula unit: -32.8

Cell and atoms, written as Quantum ESPRESSO input:
```
&SYSTEM
  ibrav = 0, nat = 9, ntyp = 3
/
ATOMIC_SPECIES
Ca 40.08 Ca.upf
Sm 150.36 Sm.upf
Hg 200.59 Hg.upf
CELL_PARAMETERS angstrom
-0.6210 -1.3450 3.4423
-1.4035 -6.5969 -0.7910
10.4680 -5.4560 1.7966
ATOMIC_POSITIONS angstrom
Ca 0.0000 0.0000 0.0000
Sm 0.2239 -4.8230 2.2357
Sm 8.2196 -8.5750 2.2122
Sm 4.8443 -8.8614 1.4913
Sm 1.9766 -7.7456 3.4498
Sm 6.4670 -5.6523 0.9981
Sm 3.5992 -4.5365 2.9566
Hg 1.8483 -2.1005 1.5526
Hg 6.5953 -11.2975 2.8953
```